[1]
{
  "formula": "TbErAlGe",
  "functional": "PBE",
  "state": "relaxed",
  "final_energy_ha_per_atom": -0.18663,
  "sg": "Amm2",
  "crystal_system": "orthorhombic",
  "e_form_ev_per_fu": -2.76,
  "lattice": [[4.3579, 0.0000, 0.0000], [0.0000, 4.0103, 0.0000], [-2.1789, 0.0000, 5.4270]],
  "species": ["Tb", "Er", "Al", "Ge"],
  "frac_coords": [[0.1402, 0.0000, 0.2805], [0.8584, 0.5000, 0.7168], [0.4238, 0.0000, 0.8475], [0.5776, 0.5000, 0.1552]]
}

***

[2]
{
  "formula": "ErTmAlGe",
  "functional": "PBE",
  "state": "relaxed",
  "final_energy_ha_per_atom": -0.18478,
  "sg": "Amm2",
  "crystal_system": "orthorhombic",
  "e_form_ev_per_fu": -2.72,
  "lattice": [[-1.8299, -2.2258, 3.2000], [3.1644, 0.7172, 2.3084], [-1.4147, 5.6106, 0.1961]],
  "species": ["Er", "Tm", "Al", "Ge"],
  "frac_coords": [[0.1420, 0.0000, 0.2840], [0.8603, 0.5000, 0.7205], [0.5766, 0.5000, 0.1532], [0.4211, 0.0000, 0.8422]]
}

***

[3]
{
  "formula": "ErAlZnGe2",
  "functional": "PBE",
  "state": "relaxed",
  "final_energy_ha_per_atom": -0.14731,
  "sg": "C2/m",
  "crystal_system": "monoclinic",
  "e_form_ev_per_fu": -1.23,
  "lattice": [[4.0639, 0.0000, 0.0000], [-2.0319, 7.2027, 0.0039], [0.0000, -1.6889, 7.9078]],
  "species": ["Er", "Er", "Al", "Al", "Zn", "Zn", "Ge", "Ge", "Ge", "Ge"],
  "frac_coords": [[0.2816, 0.5631, 0.3122], [0.7184, 0.4369, 0.6878], [0.0602, 0.1203, 0.1619], [0.9398, 0.8797, 0.8381], [0.6780, 0.3560, 0.0396], [0.3220, 0.6440, 0.9604], [0.3661, 0.7322, 0.6691], [0.6339, 0.2678, 0.3309], [0.1187, 0.2373, 0.8529], [0.8813, 0.7627, 0.1471]]
}

***

[4]
{
  "formula": "Er2AlH",
  "functional": "PBE",
  "state": "relaxed",
  "e_above_lowest_polymorph_ev_per_atom": 0.000,
  "final_energy_ha_per_atom": -0.15797,
  "sg": "Pmmm",
  "crystal_system": "orthorhombic",
  "lattice": [[-1.7092, 2.9220, -0.8031], [-5.9815, -3.7990, -1.0919], [-1.6304, 0.7674, 6.2618]],
  "species": ["Er", "Er", "Er", "Er", "Al", "Al", "H", "H"],
  "frac_coords": [[0.5000, 0.7334, 0.5001], [0.5000, 0.2666, 0.4999], [0.5000, 0.2666, 0.0001], [0.5000, 0.7334, 0.9999], [0.0000, 0.9999, 0.2500], [0.0000, 0.0001, 0.7500], [0.5000, 0.5004, 0.2500], [0.5000, 0.4996, 0.7500]]
}

***

Which formula does entry 3 have?
ErAlZnGe2